# Pm6InP2S3 PBE relaxed
# Total moment ... 0.000 μB/cell
# Crystal system ... monoclinic
# Formation energy from raw total energies ... -36.6 kcal/mol of atoms
# Raw total energy ... -146.968 eV per cell
# Fermi-level density of states ... 0.34 states/eV per atom
data_Pm6InP2S3
_chemical_formula_sum 'Pm12 In2 P4 S6'
_symmetry_space_group_name_H-M 'C 1 2/m 1'
_symmetry_Int_Tables_number 12
_symmetry_space_group_name_Hall '-C 2y'
_cell_length_a 18.097
_cell_length_b 4.106
_cell_length_c 8.384
_cell_angle_alpha 90.00
_cell_angle_beta 103.18
_cell_angle_gamma 90.00
loop_
_atom_site_label
_atom_site_fract_x
_atom_site_fract_y
_atom_site_fract_z
Pm1 0.002 0.000 0.271
Pm2 0.169 0.500 0.578
Pm3 0.173 0.500 0.094
In1 0.000 0.500 0.000
P1 0.168 0.000 0.335
S1 0.000 0.500 0.500
S2 0.167 0.000 0.831